MgBiAu: relaxed, PBE.

abc: 4.5047 3.5311 9.2984
angles: 101.27 90.00 90.00
Positions (direct):
Mg  0.7447  0.6936  0.7132
Mg  0.2447  0.8339  0.9846
Au  0.2447  0.2076  0.7396
Au  0.7446  0.3199  0.9582
Bi  0.7447  0.9657  0.2326
Bi  0.2447  0.5619  0.4652

Summary:
For the total magnetization, the calculation gives 0.00 μB per formula unit. For the formation energy, the calculation gives -27 kJ per mole of atoms. The theoretical density is 9.85 Mg/m³. The space group is No. 11. The total energy comes out at -19.2 eV per cell. As for the crystal system: monoclinic.